1.
# KTlHg2Rh (PBE, relaxed)
# - Calculated density: 8.18 g/cm3
# - Magnetization: 0.00 μB/cell
# - Calculated formation energy: -0.156 eV per atom
# - D(E_F): 1.6 states/eV per cell
data_KTlHg2Rh
_symmetry_space_group_name_H-M 'P 4/m m m'
_symmetry_Int_Tables_number 123
_symmetry_space_group_name_Hall '-P 4 2'
_cell_length_a 5.386
_cell_length_b 5.386
_cell_length_c 5.232
_cell_angle_alpha 90.00
_cell_angle_beta 90.00
_cell_angle_gamma 90.00
loop_
_atom_site_label
_atom_site_type_symbol
_atom_site_fract_x
_atom_site_fract_y
_atom_site_fract_z
K1 K 0.000 0.000 0.000
Tl1 Tl 0.500 0.500 0.000
Hg1 Hg 0.000 0.500 0.500
Rh1 Rh 0.500 0.500 0.500


2.
# BaSr3Ag (PBE, relaxed)
# - Calculated density: 3.58 g/cm3
# - Magnetization: 0.00 μB/cell
# - Offset from the most stable computed form: 0 meV per atom
# - Calculated formation energy: -0.120 eV per atom
# - D(E_F): 22.3 states/eV per cell
data_BaSr3Ag
_symmetry_space_group_name_H-M 'C 1 m 1'
_symmetry_Int_Tables_number 8
_symmetry_space_group_name_Hall 'C -2y'
_cell_length_a 14.637
_cell_length_b 4.524
_cell_length_c 15.390
_cell_angle_alpha 90.00
_cell_angle_beta 112.43
_cell_angle_gamma 90.00
loop_
_atom_site_label
_atom_site_type_symbol
_atom_site_fract_x
_atom_site_fract_y
_atom_site_fract_z
Ba1 Ba 0.000 0.000 0.000
Ba2 Ba 0.123 0.000 0.288
Sr1 Sr 0.122 0.000 0.617
Sr2 Sr 0.240 0.000 0.896
Sr3 Sr 0.281 0.500 0.141
Sr4 Sr 0.301 0.500 0.527
Sr5 Sr 0.440 0.000 0.381
Sr6 Sr 0.462 0.000 0.755
Ag1 Ag 0.290 0.500 0.753
Ag2 Ag 0.446 0.000 0.146


3.
# CaCePm2Tl4 (PBE, relaxed)
# - Calculated density: 9.04 g/cm3
# - Magnetization: 3.11 μB/cell
# - Calculated formation energy: -0.346 eV per atom
# - D(E_F): 36.0 states/eV per cell
data_CaCePm2Tl4
_symmetry_space_group_name_H-M 'R -3 m'
_symmetry_Int_Tables_number 166
_symmetry_space_group_name_Hall '-R 3 2"'
_cell_length_a 5.4828
_cell_length_b 5.4828
_cell_length_c 27.2587
_cell_angle_alpha 90.00
_cell_angle_beta 90.00
_cell_angle_gamma 120.00
loop_
_atom_site_label
_atom_site_type_symbol
_atom_site_fract_x
_atom_site_fract_y
_atom_site_fract_z
Ca1 Ca 0.0000 0.0000 0.0000
Ce1 Ce 0.0000 0.0000 0.5000
Pm1 Pm 0.0000 0.0000 0.2542
Tl1 Tl 0.0000 0.0000 0.1262
Tl2 Tl 0.0000 0.0000 0.3763